! BaLaCl, relaxed, DFT PBE; values from VASP
&SYSTEM
  ibrav = 0, nat = 3, ntyp = 3
/
ATOMIC_SPECIES
Ba 137.33 Ba.upf
La 138.91 La.upf
Cl 35.45 Cl.upf
CELL_PARAMETERS angstrom
4.155 0.000 0.000
-2.077 3.598 0.000
0.000 0.000 7.560
ATOMIC_POSITIONS angstrom
Ba 0.000 0.000 0.000
La 0.000 2.399 4.333
Cl 2.077 1.199 2.357
! * M_tot: 1.37 μB per formula unit
! * relative energy among the computed polymorphs: 0 meV per atom
! * total energy: -11.53 eV/f.u.
! * uncorrected formation energy: -0.943 eV/atom